No. 1
CeNd3Sm2Te6: relaxed, GGA-PBE.

Geometry as POSCAR:
```
CeNd3Sm2Te6
1.0
-3.660 1.758 -1.835
-3.315 -8.281 -1.321
-1.490 1.468 9.785
Ce Nd Sm Te
1 3 2 6
Direct
0.500 0.000 0.000 Ce
0.500 0.500 0.000 Nd
0.833 0.167 0.666 Nd
0.167 0.833 0.334 Nd
0.834 0.669 0.668 Sm
0.166 0.331 0.332 Sm
0.334 0.915 0.667 Te
0.668 0.580 0.336 Te
0.666 0.085 0.333 Te
0.001 0.250 0.002 Te
0.999 0.750 0.998 Te
0.332 0.420 0.664 Te
```

energy relative to the elements, uncorrected = -1404 meV/atom


No. 2
KPmAgF5: relaxed, GGA-PBE.

Geometry as POSCAR:
```
KPmAgF5
1.0
-0.207 6.205 -2.230
-2.447 -4.497 -4.160
-6.633 0.482 5.030
K Pm Ag F
2 2 2 10
Direct
0.350 0.650 0.250 K
0.650 0.350 0.750 K
0.000 0.000 0.500 Pm
0.000 0.000 0.000 Pm
0.670 0.330 0.250 Ag
0.330 0.670 0.750 Ag
0.089 0.911 0.250 F
0.911 0.089 0.750 F
0.958 0.301 0.120 F
0.042 0.699 0.880 F
0.699 0.042 0.380 F
0.301 0.958 0.620 F
0.753 0.628 0.470 F
0.247 0.372 0.530 F
0.372 0.247 0.030 F
0.628 0.753 0.970 F
```

energy relative to the elements, uncorrected = -2938 meV/atom


No. 3
Dy2B7Ir12: relaxed, GGA-PBE.

Geometry as POSCAR:
```
Dy2B7Ir12
1.0
3.981 0.000 0.000
0.000 7.718 -4.456
0.000 0.000 8.912
Dy B Ir
2 7 12
Direct
0.255 0.333 0.667 Dy
0.745 0.667 0.333 Dy
0.500 0.000 0.000 B
0.239 0.883 0.296 B
0.239 0.413 0.117 B
0.239 0.704 0.587 B
0.761 0.117 0.704 B
0.761 0.587 0.883 B
0.761 0.296 0.413 B
0.250 0.621 0.063 Ir
0.250 0.442 0.379 Ir
0.250 0.937 0.558 Ir
0.750 0.379 0.937 Ir
0.750 0.558 0.621 Ir
0.750 0.063 0.442 Ir
0.252 0.092 0.245 Ir
0.252 0.153 0.908 Ir
0.252 0.755 0.847 Ir
0.748 0.908 0.755 Ir
0.748 0.847 0.092 Ir
0.748 0.245 0.153 Ir
```

ΔH_f (0 K) = -8.3 eV/f.u.


No. 4
CsNa3Be: relaxed, GGA-PBE.

Geometry as POSCAR:
```
CsNa3Be
1.0
7.481 0.000 0.000
0.000 7.481 0.000
0.000 0.000 7.481
Cs Na Be
1 3 1
Direct
0.000 0.000 0.000 Cs
0.000 0.500 0.000 Na
0.000 0.000 0.500 Na
0.500 0.000 0.000 Na
0.500 0.500 0.500 Be
```

ΔH_f (0 K) = 5.9 eV/f.u.
energy above the most stable polymorph in this dataset = 756 meV/atom